DFT (PBE) results for SnBiTe after structural relaxation.

Cell: 4.434 4.434 5.718 Å, 90.00 90.00 120.00°
Positions (direct):
Te: 0.667 0.333 0.346
Bi: 0.000 0.000 0.984
Sn: 0.333 0.667 0.669

Results
Volume: 97.3 Å³/cell
Energy relative to the elements, uncorrected: -0.0103 eV/atom
Calculated density: 7.77 g/cm3